The following is a DFT calculation (PBE with a Hubbard U) of SrV2ReO8 after structural relaxation.

Summary:
Its space-group type is P-3m1 (164). The calculation puts the total moment at 3.0 μB/f.u. As for the uncorrected energy: -7.69 eV/atom. The density of states at the Fermi level is 1.20 states/eV per cell.

Geometry as CIF:
```
data_SrV2ReO8
_cell_length_a 5.628
_cell_length_b 5.628
_cell_length_c 6.818
_cell_angle_alpha 90.00
_cell_angle_beta 90.00
_cell_angle_gamma 120.00
_space_group_name_H-M_alt 'P 1'
_space_group_IT_number 1
loop_
_space_group_symop_operation_xyz
'x,y,z'
loop_
_atom_site_label
_atom_site_fract_x
_atom_site_fract_y
_atom_site_fract_z
Sr1 0.000 0.000 0.000
V1 0.667 0.333 0.242
V2 0.333 0.667 0.758
Re1 0.000 0.000 0.500
O1 0.333 0.667 0.004
O2 0.318 0.160 0.320
O3 0.840 0.159 0.320
O4 0.667 0.333 0.996
O5 0.160 0.841 0.680
O6 0.682 0.840 0.680
O7 0.159 0.318 0.680
O8 0.841 0.682 0.320
```



The following is a DFT calculation (PBE with a Hubbard U) of SrVReO6 after structural relaxation.

Summary:
Its space-group type is P4_2nm (102). The calculation puts the total moment at 2.0 μB/f.u. As for the uncorrected energy: -7.67 eV/atom. The density of states at the Fermi level is 0.04 states/eV per cell.

Geometry as CIF:
```
data_SrVReO6
_cell_length_a 4.935
_cell_length_b 4.935
_cell_length_c 9.670
_cell_angle_alpha 90.00
_cell_angle_beta 90.00
_cell_angle_gamma 90.00
_space_group_name_H-M_alt 'P 1'
_space_group_IT_number 1
loop_
_space_group_symop_operation_xyz
'x,y,z'
loop_
_atom_site_label
_atom_site_fract_x
_atom_site_fract_y
_atom_site_fract_z
Sr1 0.500 0.500 0.502
Sr2 0.000 0.000 0.002
V1 0.500 0.500 0.162
V2 0.000 0.000 0.662
Re1 0.500 0.500 0.839
Re2 0.000 0.000 0.339
O1 0.169 0.831 0.495
O2 0.831 0.169 0.495
O3 0.331 0.331 0.995
O4 0.669 0.669 0.995
O5 0.237 0.763 0.199
O6 0.763 0.237 0.199
O7 0.263 0.263 0.699
O8 0.737 0.737 0.699
O9 0.758 0.242 0.805
O10 0.242 0.758 0.805
O11 0.742 0.742 0.305
O12 0.258 0.258 0.305
```